1.
Compound: LiMgCd
Source: the Alexandria database
Functional: PBE
Structure: relaxed

As for the crystal system: triclinic. The density of states at the Fermi level is 0.58 states/eV/f.u. The volume is 19.9 A^3/atom. Its spin magnetization is 0.00 μB per cell. The value obtained for the distance to the lowest polymorph of the same formula is 0.016 eV/atom.

It has space group P-1 (No. 2), with a = 4.893 Å, b = 5.532 Å, c = 5.605 Å, α = 64.43°, β = 67.44° and γ = 64.29°. The inequivalent atoms are Li at (0.012, 0.239, 0.236), Mg at (0.328, 0.574, 0.266) and Cd at (0.334, 0.074, 0.757).

2.
Compound: V2Ni2Pb
Source: the Alexandria database
Functional: PBE
Structure: relaxed

As for the crystal system: tetragonal. The density of states at the Fermi level is 4.34 states/eV/f.u. The volume is 15.5 A^3/atom. Its spin magnetization is 0.00 μB per cell. The value obtained for the raw total energy is -64.72 eV per cell.

It has space group I4/mmm (No. 139), with a = 3.856 Å, b = 3.856 Å, c = 10.449 Å, α = 90.00°, β = 90.00° and γ = 90.00°. The inequivalent atoms are V at (0.000, 0.500, 0.250), Ni at (0.000, 0.000, 0.110) and Pb at (0.000, 0.000, 0.500).